(1)
# NbFeAgO4

An optimized crystal structure of NbFeAgO4 (PBE+U, Alexandria).

Values from the calculation:
energy	-7.047	eV/atom
total magnetic moment	4.00	μB/f.u.

```
data_NbFeAgO4
_chemical_formula_sum 'Nb2 Fe2 Ag2 O8'
_cell_length_a 5.996
_cell_length_b 6.222
_cell_length_c 6.814
_cell_angle_alpha 90.00
_cell_angle_beta 112.95
_cell_angle_gamma 90.00
_space_group_name_H-M_alt 'P 1 21/m 1'
_space_group_IT_number 11
_space_group_name_Hall '-P 2yb'
loop_
_atom_site_label
_atom_site_type_symbol
_atom_site_fract_x
_atom_site_fract_y
_atom_site_fract_z
Nb1 Nb 0.090 0.250 0.366
Fe1 Fe 0.372 0.750 0.501
Ag1 Ag 0.450 0.250 0.942
O1 O 0.146 0.250 0.650
O2 O 0.259 0.750 0.759
O3 O 0.277 0.021 0.328
```


(2)
# NbFeAg2O

An optimized crystal structure of NbFeAg2O (PBE+U, Alexandria).

Values from the calculation:
energy	-3.320	eV/atom
total magnetic moment	0.22	μB/f.u.

```
data_NbFeAg2O
_chemical_formula_sum 'Nb1 Fe1 Ag2 O1'
_cell_length_a 5.250
_cell_length_b 5.250
_cell_length_c 4.870
_cell_angle_alpha 90.00
_cell_angle_beta 90.00
_cell_angle_gamma 90.00
_space_group_name_H-M_alt 'P 4/m m m'
_space_group_IT_number 123
_space_group_name_Hall '-P 4 2'
loop_
_atom_site_label
_atom_site_type_symbol
_atom_site_fract_x
_atom_site_fract_y
_atom_site_fract_z
Nb1 Nb 0.000 0.000 0.000
Fe1 Fe 0.000 0.000 0.500
Ag1 Ag 0.000 0.500 0.000
O1 O 0.500 0.500 0.500
```